A plane-wave DFT calculation with PBE was carried out for a relaxed structure of CsGdFeTe3.

Structure (POSCAR):
```
CsGdFeTe3
1.0
17.708 0.000 0.000
0.000 4.343 0.000
0.000 0.000 11.766
Cs Fe Gd Te
4 4 4 12
direct
0.764 0.750 0.021
0.264 0.750 0.479
0.736 0.250 0.521
0.236 0.250 0.979
0.992 0.250 0.075
0.492 0.250 0.425
0.508 0.750 0.575
0.008 0.750 0.925
0.482 0.750 0.156
0.982 0.750 0.344
0.018 0.250 0.656
0.518 0.250 0.844
0.595 0.250 0.077
0.080 0.750 0.120
0.882 0.250 0.230
0.382 0.250 0.270
0.580 0.750 0.380
0.095 0.250 0.423
0.905 0.750 0.577
0.420 0.250 0.620
0.618 0.750 0.730
0.118 0.750 0.770
0.920 0.250 0.880
0.405 0.750 0.923
```

Calculated values
* total magnetization: 3.785 μB per formula unit
* symmetry: Pnma (62)
* energy above the most stable polymorph in this dataset: 0.0 kJ/mol of atoms
* energy: -4.78 eV/atom


A plane-wave DFT calculation with PBE was carried out for a relaxed structure of AcGa4Pt6.

Structure (POSCAR):
```
AcGa4Pt6
1.0
-4.785 2.017 5.252
4.250 -5.962 0.968
2.862 2.319 1.717
Ac Ga Pt
1 4 6
direct
0.000 0.000 0.000
0.333 0.667 0.000
0.403 0.201 0.500
0.799 0.201 0.500
0.799 0.597 0.500
0.534 0.067 0.000
0.534 0.466 0.000
0.933 0.466 0.000
0.200 0.399 0.500
0.200 0.800 0.500
0.601 0.800 0.500
```

Calculated values
* total magnetization: 0.004 μB per formula unit
* symmetry: P-6m2 (187)
* energy: -5.57 eV/atom


A plane-wave DFT calculation with PBE was carried out for a relaxed structure of BaCd2O4.

Structure (POSCAR):
```
BaCd2O4
1.0
-1.817 -0.114 -6.713
6.719 -0.185 1.787
-4.070 -5.512 1.196
Ba Cd O
2 4 8
direct
0.000 0.000 0.000
0.750 0.500 0.250
0.375 0.750 0.125
0.875 0.250 0.625
0.375 0.750 0.625
0.375 0.250 0.625
0.605 0.210 0.395
0.185 0.790 0.395
0.605 0.790 0.395
0.145 0.290 0.435
0.605 0.210 0.815
0.145 0.710 0.855
0.145 0.290 0.855
0.565 0.710 0.855
```

Calculated values
* symmetry: Fd-3m (227)
* energy: -4.44 eV/atom